## AlGaF3 (GGA-PBE)

Data for a geometry-optimized AlGaF3 structure.

Structure (POSCAR):
```
AlGaF3
1.0
-1.287 -2.344 3.326
3.444 -2.485 -0.419
2.167 2.558 2.641
Ga F Al
1 3 1
Direct
0.000 0.000 0.000 Ga
0.000 0.000 0.500 F
0.500 0.000 0.000 F
0.000 0.500 0.000 F
0.500 0.500 0.500 Al
```

Computed properties:
- SG = Pm-3m, No. 221
- relative energy among the computed polymorphs (meV/atom) = 463
- crystal system = cubic
- magnetization (μB/cell) = 0.00
- formation energy without anion corrections (kJ/mol of formula units) = -786

=====

## AlGa2F2 (GGA-PBE)

Data for a geometry-optimized AlGa2F2 structure.

Structure (POSCAR):
```
AlGa2F2
1.0
-0.640 -1.023 7.682
0.772 -7.679 -0.958
3.050 0.271 0.290
F Ga Al
4 4 2
Direct
0.616 0.884 0.500 F
0.116 0.616 0.500 F
0.384 0.116 0.500 F
0.884 0.384 0.500 F
0.235 0.735 0.000 Ga
0.765 0.265 0.000 Ga
0.735 0.765 0.000 Ga
0.265 0.235 0.000 Ga
0.000 0.000 0.000 Al
0.500 0.500 0.000 Al
```

Computed properties:
- SG = P4/mbm, No. 127
- relative energy among the computed polymorphs (meV/atom) = 9
- crystal system = tetragonal
- magnetization (μB/cell) = 0.00
- formation energy without anion corrections (kJ/mol of formula units) = -510

=====

## AlGa3F (GGA-PBE)

Data for a geometry-optimized AlGa3F structure.

Structure (POSCAR):
```
AlGa3F
1.0
4.602 0.000 0.000
0.000 4.602 0.000
0.000 0.000 4.602
Ga F Al
3 1 1
Direct
0.000 0.000 0.500 Ga
0.000 0.500 0.000 Ga
0.500 0.000 0.000 Ga
0.000 0.000 0.000 F
0.500 0.500 0.500 Al
```

Computed properties:
- SG = Pm-3m, No. 221
- relative energy among the computed polymorphs (meV/atom) = 0
- crystal system = cubic
- magnetization (μB/cell) = 0.00
- formation energy without anion corrections (kJ/mol of formula units) = -126

=====

## Al3GaF (GGA-PBE)

Data for a geometry-optimized Al3GaF structure.

Structure (POSCAR):
```
Al3GaF
1.0
-1.370 3.592 -2.260
-3.001 -2.499 -2.152
-3.000 0.860 3.185
Al F Ga
3 1 1
Direct
0.000 0.500 0.000 Al
0.500 0.000 0.000 Al
0.000 0.000 0.500 Al
0.000 0.000 0.000 F
0.500 0.500 0.500 Ga
```

Computed properties:
- SG = Pm-3m, No. 221
- relative energy among the computed polymorphs (meV/atom) = 0
- crystal system = cubic
- magnetization (μB/cell) = 0.00
- formation energy without anion corrections (kJ/mol of formula units) = -89

=====

## AlGa2F (GGA-PBE)

Data for a geometry-optimized AlGa2F structure.

Structure (POSCAR):
```
AlGa2F
1.0
4.871 0.000 0.000
0.000 4.871 0.000
2.436 2.436 6.792
Ga F Al
4 2 2
Direct
0.204 0.625 0.250 Ga
0.546 0.125 0.250 Ga
0.375 0.454 0.750 Ga
0.875 0.796 0.750 Ga
0.500 0.500 0.000 F
0.250 0.750 0.500 F
0.750 0.250 0.500 Al
0.000 0.000 0.000 Al
```

Computed properties:
- SG = I-42d, No. 122
- relative energy among the computed polymorphs (meV/atom) = 10
- crystal system = tetragonal
- magnetization (μB/cell) = 0.00
- formation energy without anion corrections (kJ/mol of formula units) = -173

=====

## AlGaF4 (GGA-PBE)

Data for a geometry-optimized AlGaF4 structure.

Structure (POSCAR):
```
AlGaF4
1.0
3.706 0.000 0.000
0.000 5.543 0.000
-1.853 0.000 8.293
F Ga Al
8 2 2
Direct
0.152 0.523 0.304 F
0.000 0.000 0.000 F
0.000 0.500 0.000 F
0.848 0.477 0.696 F
0.848 0.023 0.696 F
0.570 0.750 0.139 F
0.430 0.250 0.861 F
0.152 0.977 0.304 F
0.693 0.250 0.385 Ga
0.307 0.750 0.615 Ga
0.926 0.250 0.852 Al
0.074 0.750 0.148 Al
```

Computed properties:
- SG = Cmcm, No. 63
- crystal system = orthorhombic
- magnetization (μB/cell) = 0.00
- formation energy without anion corrections (kJ/mol of formula units) = -1657

=====

## AlGa3F (GGA-PBE)

Data for a geometry-optimized AlGa3F structure.

Structure (POSCAR):
```
AlGa3F
1.0
-4.601 -1.923 0.287
1.081 -3.144 -3.728
1.616 -3.372 3.312
Ga F Al
3 1 1
Direct
0.000 0.000 0.500 Ga
0.000 0.500 0.000 Ga
0.500 0.000 0.000 Ga
0.500 0.500 0.500 F
0.000 0.000 0.000 Al
```

Computed properties:
- SG = Pm-3m, No. 221
- relative energy among the computed polymorphs (meV/atom) = 244
- crystal system = cubic
- magnetization (μB/cell) = 0.00
- formation energy without anion corrections (kJ/mol of formula units) = -9

=====

## AlGaF3 (GGA-PBE)

Data for a geometry-optimized AlGaF3 structure.

Structure (POSCAR):
```
AlGaF3
1.0
4.088 0.000 0.000
0.000 4.088 0.000
0.000 0.000 4.088
Ga F Al
1 3 1
Direct
0.500 0.500 0.500 Ga
0.000 0.500 0.000 F
0.000 0.000 0.500 F
0.500 0.000 0.000 F
0.000 0.000 0.000 Al
```

Computed properties:
- SG = Pm-3m, No. 221
- relative energy among the computed polymorphs (meV/atom) = 0
- crystal system = cubic
- magnetization (μB/cell) = 0.00
- formation energy without anion corrections (kJ/mol of formula units) = -1009

=====

## Al3GaF (GGA-PBE)

Data for a geometry-optimized Al3GaF structure.

Structure (POSCAR):
```
Al3GaF
1.0
-3.151 -0.045 3.789
1.229 -4.673 0.967
3.584 1.564 2.999
Al F Ga
3 1 1
Direct
0.000 0.000 0.500 Al
0.000 0.500 0.000 Al
0.500 0.000 0.000 Al
0.500 0.500 0.500 F
0.000 0.000 0.000 Ga
```

Computed properties:
- SG = Pm-3m, No. 221
- relative energy among the computed polymorphs (meV/atom) = 430
- crystal system = cubic
- magnetization (μB/cell) = 0.00
- formation energy without anion corrections (kJ/mol of formula units) = 118

=====

## Al2GaF (GGA-PBE)

Data for a geometry-optimized Al2GaF structure.

Structure (POSCAR):
```
Al2GaF
1.0
-4.797 0.534 -0.318
0.186 -1.125 -4.700
-3.089 -6.470 -1.062
Ga F Al
2 2 4
Direct
0.750 0.250 0.500 Ga
0.000 0.000 0.000 Ga
0.250 0.750 0.500 F
0.500 0.500 0.000 F
0.528 0.125 0.250 Al
0.222 0.625 0.250 Al
0.875 0.778 0.750 Al
0.375 0.472 0.750 Al
```

Computed properties:
- SG = I-42d, No. 122
- relative energy among the computed polymorphs (meV/atom) = 0
- crystal system = tetragonal
- magnetization (μB/cell) = 0.00
- formation energy without anion corrections (kJ/mol of formula units) = -217

=====

## AlGa2F (GGA-PBE)

Data for a geometry-optimized AlGa2F structure.

Structure (POSCAR):
```
AlGa2F
1.0
-0.095 2.023 4.064
-3.742 2.183 1.362
-2.549 -1.728 3.337
Ga F Al
2 1 1
Direct
0.250 0.250 0.250 Ga
0.750 0.750 0.750 Ga
0.000 0.000 0.000 F
0.500 0.500 0.500 Al
```

Computed properties:
- SG = Fm-3m, No. 225
- relative energy among the computed polymorphs (meV/atom) = 0
- crystal system = cubic
- magnetization (μB/cell) = 0.00
- formation energy without anion corrections (kJ/mol of formula units) = -177

=====

## AlGa2F2 (GGA-PBE)

Data for a geometry-optimized AlGa2F2 structure.

Structure (POSCAR):
```
AlGa2F2
1.0
3.513 0.000 0.000
0.000 3.513 0.000
1.756 1.756 6.258
Ga Al F
2 1 2
Direct
0.634 0.634 0.732 Ga
0.366 0.366 0.268 Ga
0.000 0.000 0.000 Al
0.750 0.250 0.500 F
0.250 0.750 0.500 F
```

Computed properties:
- SG = I4/mmm, No. 139
- relative energy among the computed polymorphs (meV/atom) = 0
- crystal system = tetragonal
- magnetization (μB/cell) = 0.00
- formation energy without anion corrections (kJ/mol of formula units) = -515

=====

## Al2GaF (GGA-PBE)

Data for a geometry-optimized Al2GaF structure.

Structure (POSCAR):
```
Al2GaF
1.0
4.250 0.588 0.995
1.132 1.760 3.876
1.907 -2.503 3.082
Al F Ga
2 1 1
Direct
0.750 0.750 0.750 Al
0.250 0.250 0.250 Al
0.000 0.000 0.000 F
0.500 0.500 0.500 Ga
```

Computed properties:
- SG = Fm-3m, No. 225
- relative energy among the computed polymorphs (meV/atom) = 19
- crystal system = cubic
- magnetization (μB/cell) = 0.00
- formation energy without anion corrections (kJ/mol of formula units) = -209

=====

## Al2GaIrF (GGA-PBE)

Data for a geometry-optimized Al2GaIrF structure.

Structure (POSCAR):
```
Al2GaIrF
1.0
4.862 0.000 0.000
0.000 3.773 0.000
0.000 0.000 4.862
Ga F Al Ir
1 1 2 1
Direct
0.000 0.000 0.000 Ga
0.000 0.500 0.000 F
0.000 0.000 0.500 Al
0.500 0.000 0.000 Al
0.500 0.500 0.500 Ir
```

Computed properties:
- SG = P4/mmm, No. 123
- crystal system = tetragonal
- magnetization (μB/cell) = 0.65
- formation energy without anion corrections (kJ/mol of formula units) = 112

=====

## LaAlGa2F (GGA-PBE)

Data for a geometry-optimized LaAlGa2F structure.

Structure (POSCAR):
```
LaAlGa2F
1.0
4.995 0.000 0.000
0.000 4.181 0.000
0.000 0.000 4.995
Ga La Al F
2 1 1 1
Direct
0.500 0.000 0.000 Ga
0.000 0.000 0.500 Ga
0.500 0.500 0.500 La
0.000 0.500 0.000 Al
0.000 0.000 0.000 F
```

Computed properties:
- SG = P4/mmm, No. 123
- crystal system = tetragonal
- magnetization (μB/cell) = 0.00
- formation energy without anion corrections (kJ/mol of formula units) = -362

=====

## MgAlGaF6 (GGA-PBE)

Data for a geometry-optimized MgAlGaF6 structure.

Structure (POSCAR):
```
MgAlGaF6
1.0
5.195 0.000 0.000
2.598 4.499 0.000
0.000 0.000 5.614
F Ga Al Mg
6 1 1 1
Direct
0.365 0.026 0.684 F
0.026 0.365 0.316 F
0.609 0.026 0.316 F
0.609 0.365 0.684 F
0.026 0.609 0.684 F
0.365 0.609 0.316 F
0.000 0.000 0.000 Ga
0.333 0.333 0.500 Al
0.667 0.667 0.500 Mg
```

Computed properties:
- SG = P312, No. 149
- crystal system = trigonal
- magnetization (μB/cell) = 0.00
- formation energy without anion corrections (kJ/mol of formula units) = -2695

=====

## MgAl2GaF (GGA-PBE)

Data for a geometry-optimized MgAl2GaF structure.

Structure (POSCAR):
```
MgAl2GaF
1.0
-3.286 2.998 -2.568
-0.044 -2.673 -3.065
-3.948 -2.449 2.192
Al Ga Mg F
2 1 1 1
Direct
0.000 0.000 0.500 Al
0.500 0.000 0.000 Al
0.000 0.000 0.000 Ga
0.500 0.500 0.500 Mg
0.000 0.500 0.000 F
```

Computed properties:
- SG = P4/mmm, No. 123
- crystal system = tetragonal
- magnetization (μB/cell) = 0.00
- formation energy without anion corrections (kJ/mol of formula units) = -91

=====

## Na2AlGaF6 (GGA-PBE)

Data for a geometry-optimized Na2AlGaF6 structure.

Structure (POSCAR):
```
Na2AlGaF6
1.0
-3.764 3.324 -2.573
-0.573 -0.204 -5.609
-5.077 -2.678 -2.224
F Al Ga Na
6 1 1 2
Direct
0.392 0.667 0.797 F
0.667 0.145 0.796 F
0.269 0.992 0.202 F
0.991 0.537 0.202 F
0.145 0.392 0.796 F
0.537 0.268 0.203 F
0.327 0.327 0.019 Al
0.795 0.795 0.614 Ga
0.533 0.533 0.402 Na
0.005 0.005 0.984 Na
```

Computed properties:
- SG = R3, No. 146
- crystal system = trigonal
- magnetization (μB/cell) = 0.00
- formation energy without anion corrections (kJ/mol of formula units) = -2759

=====

## AlGaOF2 (GGA-PBE)

Data for a geometry-optimized AlGaOF2 structure.

Structure (POSCAR):
```
AlGaOF2
1.0
4.027 0.000 0.000
0.000 4.027 0.000
0.000 0.000 3.587
Ga Al O F
1 1 1 2
Direct
0.500 0.500 0.500 Ga
0.000 0.000 0.000 Al
0.000 0.000 0.500 O
0.500 0.000 0.000 F
0.000 0.500 0.000 F
```

Computed properties:
- SG = P4/mmm, No. 123
- relative energy among the computed polymorphs (meV/atom) = 0
- crystal system = tetragonal
- magnetization (μB/cell) = 0.00
- formation energy without anion corrections (kJ/mol of formula units) = -1132

=====

## AlGaOF2 (GGA-PBE)

Data for a geometry-optimized AlGaOF2 structure.

Structure (POSCAR):
```
AlGaOF2
1.0
-2.135 -0.877 3.550
2.440 -3.403 0.627
2.334 2.025 1.904
Al O F Ga
1 1 2 1
Direct
0.500 0.500 0.500 Al
0.000 0.000 0.500 O
0.000 0.500 0.000 F
0.500 0.000 0.000 F
0.000 0.000 0.000 Ga
```

Computed properties:
- SG = P4/mmm, No. 123
- relative energy among the computed polymorphs (meV/atom) = 764
- crystal system = tetragonal
- magnetization (μB/cell) = 0.00
- formation energy without anion corrections (kJ/mol of formula units) = -764

=====

no.,density of states at the Fermi level (states/eV per cell)
1,1.00
2,3.11
3,2.14
4,1.28
5,2.64
6,0.00
7,2.90
8,1.86
9,3.10
10,1.56
11,1.57
12,1.26
13,0.79
14,3.15
15,2.21
16,0.00
17,2.41
18,0.00
19,0.00
20,0.00